(1)
## ErThIn (PBE)

Data for a relaxed ErThIn crystal.

Calculated values
E above lowest polymorph: 17 kJ/mol of formula units

a = 8.978 Å, b = 3.785 Å, c = 10.397 Å
α = 90.00°, β = 90.00°, γ = 90.00°
Space group Pnma (No. 62)
Symmetry-distinct sites (fractional):
1 Er 0.121 0.250 0.095 x4
2 Th 0.041 0.250 0.649 x4
3 In 0.233 0.750 0.869 x4

(2)
## ErThIn2 (PBE)

Data for a relaxed ErThIn2 crystal.

a = 3.535 Å, b = 3.535 Å, c = 8.749 Å
α = 90.00°, β = 90.00°, γ = 90.00°
Space group P4/mmm (No. 123)
Symmetry-distinct sites (fractional):
1 Er 0.000 0.000 0.000 x1
2 Th 0.000 0.000 0.500 x1
3 In 0.500 0.500 0.238 x2

(3)
## Er4ThIn3 (PBE)

Data for a relaxed Er4ThIn3 crystal.

a = 3.551 Å, b = 3.551 Å, c = 17.256 Å
α = 90.00°, β = 90.00°, γ = 90.00°
Space group P4/mmm (No. 123)
Symmetry-distinct sites (fractional):
1 Er 0.000 0.000 0.120 x2
2 Er 0.000 0.000 0.360 x2
3 Th 0.500 0.500 0.500 x1
4 In 0.500 0.500 0.000 x1
5 In 0.500 0.500 0.240 x2

(4)
## ErThIn (PBE)

Data for a relaxed ErThIn crystal.

Calculated values
E above lowest polymorph: 55 kJ/mol of formula units

a = 5.3235 Å, b = 5.3235 Å, c = 3.6121 Å
α = 90.00°, β = 90.00°, γ = 120.00°
Space group P3m1 (No. 156)
Symmetry-distinct sites (fractional):
1 Er 0.0000 0.0000 0.0000 x1
2 Th 0.6667 0.3333 0.5445 x1
3 In 0.3333 0.6667 0.1661 x1

ΔE_f, respectively: -210, -362, -342, -77 meV/atom.
D(E_F), respectively: 1.29, 0.93, 0.71, 1.30 states/eV/atom.